1.
A plane-wave DFT calculation with meta-GGA SCAN was carried out for a PBEsol-optimized structure of HgIr.

Properties
energy relative to the elements	439	meV/atom
calculated volume	69.0	Å³ per cell

a b c (Å): 2.8447 2.8447 8.5266
angles (deg): 90.00 90.00 90.00
With the nearest neighbours (Å) after each atom.
Sites, in units of the cell vectors:
1 Hg 0.2500 0.2500 0.1495  4 Hg 2.84, 4 Ir 2.94
2 Hg 0.7500 0.7500 0.8505  4 Hg 2.84, 4 Ir 2.94
3 Ir 0.2500 0.2500 0.5997  8 Ir 2.63-2.84, 4 Hg 2.94
4 Ir 0.7500 0.7500 0.4003  8 Ir 2.63-2.84, 4 Hg 2.94

---

2.
A plane-wave DFT calculation with meta-GGA SCAN was carried out for a PBEsol-optimized structure of HgIr.

Properties
energy relative to the elements	621	meV/atom
calculated volume	33.3	Å³ per cell

a b c (Å): 2.8787 2.8787 4.6354
angles (deg): 90.00 90.00 120.00
With the nearest neighbours (Å) after each atom.
Sites, in units of the cell vectors:
1 Hg 0.0000 0.0000 0.0000  6 Ir 2.85, 6 Hg 2.88
2 Ir 0.6667 0.3333 0.5000  6 Hg 2.85, 6 Ir 2.88

---

3.
A plane-wave DFT calculation with meta-GGA SCAN was carried out for a PBEsol-optimized structure of HgIr2.

Properties
energy relative to the elements	645	meV/atom
calculated volume	189.7	Å³ per cell

a b c (Å): 3.9035 12.0395 4.0355
angles (deg): 90.00 90.00 90.00
With the nearest neighbours (Å) after each atom.
Sites, in units of the cell vectors:
1 Hg 0.0000 0.0828 0.2500  10 Ir 2.81-2.89, 2 Hg 2.84
2 Hg 0.0000 0.9172 0.7500  10 Ir 2.81-2.89, 2 Hg 2.84
3 Hg 0.5000 0.4172 0.7500  10 Ir 2.81-2.89, 2 Hg 2.84
4 Hg 0.5000 0.5828 0.2500  10 Ir 2.81-2.89, 2 Hg 2.84
5 Ir 0.0000 0.2488 0.7500  8 Ir 2.70-2.81, 4 Hg 2.81-2.84
6 Ir 0.0000 0.4059 0.2500  4 Ir 2.70-2.77, 6 Hg 2.81-2.89
7 Ir 0.0000 0.5941 0.7500  4 Ir 2.70-2.77, 6 Hg 2.81-2.89
8 Ir 0.0000 0.7512 0.2500  8 Ir 2.70-2.81, 4 Hg 2.81-2.84
9 Ir 0.5000 0.0941 0.7500  4 Ir 2.70-2.77, 6 Hg 2.81-2.89
10 Ir 0.5000 0.2512 0.2500  8 Ir 2.70-2.81, 4 Hg 2.81-2.84
11 Ir 0.5000 0.7488 0.7500  8 Ir 2.70-2.81, 4 Hg 2.81-2.84
12 Ir 0.5000 0.9059 0.2500  4 Ir 2.70-2.77, 6 Hg 2.81-2.89

---

4.
A plane-wave DFT calculation with meta-GGA SCAN was carried out for a PBEsol-optimized structure of HgIr2.

Properties
energy relative to the elements	440	meV/atom
calculated volume	47.4	Å³ per cell

a b c (Å): 2.8200 2.8200 6.8852
angles (deg): 90.00 90.00 120.00
With the nearest neighbours (Å) after each atom.
Sites, in units of the cell vectors:
1 Hg 0.0000 0.0000 0.0000  6 Hg 2.82, 6 Ir 2.91
2 Ir 0.3333 0.6667 0.6492  9 Ir 2.62-2.82, 3 Hg 2.91
3 Ir 0.6667 0.3333 0.3508  9 Ir 2.62-2.82, 3 Hg 2.91

---

5.
A plane-wave DFT calculation with meta-GGA SCAN was carried out for a PBEsol-optimized structure of KHg2Ir.

Properties
energy relative to the elements	511	meV/atom
calculated volume	246.1	Å³ per cell

a b c (Å): 3.0392 3.0392 30.7707
angles (deg): 90.00 90.00 120.00
With the nearest neighbours (Å) after each atom.
Sites, in units of the cell vectors:
1 K 0.0000 0.0000 0.0000  6 K 3.04, 6 Hg 3.37
2 K 0.3333 0.6667 0.6667  6 K 3.04, 6 Hg 3.37
3 K 0.6667 0.3333 0.3333  6 K 3.04, 6 Hg 3.37
4 Hg 0.0000 0.0000 0.2400  3 Ir 2.86, 6 Hg 3.04
5 Hg 0.0000 0.0000 0.7600  3 Ir 2.86, 6 Hg 3.04
6 Hg 0.3333 0.6667 0.4267  3 Ir 2.86, 6 Hg 3.04
7 Hg 0.3333 0.6667 0.9067  3 Ir 2.86, 6 Hg 3.04
8 Hg 0.6667 0.3333 0.0933  3 Ir 2.86, 6 Hg 3.04
9 Hg 0.6667 0.3333 0.5733  3 Ir 2.86, 6 Hg 3.04
10 Ir 0.0000 0.0000 0.5000  6 Hg 2.86, 6 Ir 3.04
11 Ir 0.3333 0.6667 0.1667  6 Hg 2.86, 6 Ir 3.04
12 Ir 0.6667 0.3333 0.8333  6 Hg 2.86, 6 Ir 3.04

---

6.
A plane-wave DFT calculation with meta-GGA SCAN was carried out for a PBEsol-optimized structure of KHg2Ir.

Properties
energy relative to the elements	475	meV/atom
calculated volume	332.7	Å³ per cell

a b c (Å): 6.9295 6.9295 6.9295
angles (deg): 90.00 90.00 90.00
With the nearest neighbours (Å) after each atom.
Sites, in units of the cell vectors:
1 K 0.0000 0.0000 0.0000  8 Hg 3.00
2 K 0.0000 0.5000 0.5000  8 Hg 3.00
3 K 0.5000 0.0000 0.5000  8 Hg 3.00
4 K 0.5000 0.5000 0.0000  8 Hg 3.00
5 Hg 0.2500 0.2500 0.2500  4 K 3.00, 4 Ir 3.00
6 Hg 0.2500 0.2500 0.7500  4 K 3.00, 4 Ir 3.00
7 Hg 0.2500 0.7500 0.2500  4 K 3.00, 4 Ir 3.00
8 Hg 0.2500 0.7500 0.7500  4 K 3.00, 4 Ir 3.00
9 Hg 0.7500 0.2500 0.2500  4 K 3.00, 4 Ir 3.00
10 Hg 0.7500 0.2500 0.7500  4 K 3.00, 4 Ir 3.00
11 Hg 0.7500 0.7500 0.2500  4 K 3.00, 4 Ir 3.00
12 Hg 0.7500 0.7500 0.7500  4 K 3.00, 4 Ir 3.00
13 Ir 0.0000 0.0000 0.5000  8 Hg 3.00
14 Ir 0.0000 0.5000 0.0000  8 Hg 3.00
15 Ir 0.5000 0.0000 0.0000  8 Hg 3.00
16 Ir 0.5000 0.5000 0.5000  8 Hg 3.00

---

7.
A plane-wave DFT calculation with meta-GGA SCAN was carried out for a PBEsol-optimized structure of KHgIr2.

Properties
energy relative to the elements	758	meV/atom
calculated volume	213.8	Å³ per cell

a b c (Å): 2.8512 2.8512 30.3734
angles (deg): 90.00 90.00 120.00
With the nearest neighbours (Å) after each atom.
Sites, in units of the cell vectors:
1 K 0.0000 0.0000 0.0000  6 K 2.85
2 K 0.3333 0.6667 0.6667  6 K 2.85
3 K 0.6667 0.3333 0.3333  6 K 2.85
4 Hg 0.0000 0.0000 0.5000  6 Ir 2.83, 6 Hg 2.85
5 Hg 0.3333 0.6667 0.1667  6 Ir 2.83, 6 Hg 2.85
6 Hg 0.6667 0.3333 0.8333  6 Ir 2.83, 6 Hg 2.85
7 Ir 0.0000 0.0000 0.2424  3 Hg 2.83, 6 Ir 2.85
8 Ir 0.0000 0.0000 0.7576  3 Hg 2.83, 6 Ir 2.85
9 Ir 0.3333 0.6667 0.4243  3 Hg 2.83, 6 Ir 2.85
10 Ir 0.3333 0.6667 0.9091  3 Hg 2.83, 6 Ir 2.85
11 Ir 0.6667 0.3333 0.0909  3 Hg 2.83, 6 Ir 2.85
12 Ir 0.6667 0.3333 0.5757  3 Hg 2.83, 6 Ir 2.85

---

8.
A plane-wave DFT calculation with meta-GGA SCAN was carried out for a PBEsol-optimized structure of KHg2IrPb.

Properties
energy relative to the elements	1453	meV/atom
calculated volume	147.1	Å³ per cell

a b c (Å): 5.4794 5.4794 4.9003
angles (deg): 90.00 90.00 90.00
With the nearest neighbours (Å) after each atom.
Sites, in units of the cell vectors:
1 K 0.0000 0.0000 0.0000  2 Ir 2.45, 4 Hg 2.74
2 Hg 0.0000 0.5000 0.0000  2 K 2.74
3 Hg 0.5000 0.0000 0.0000  2 K 2.74
4 Ir 0.0000 0.0000 0.5000  2 K 2.45
5 Pb 0.5000 0.5000 0.5000  8 Hg 3.68, 4 Ir 3.87